1.
DFT (PBE-GGA) results for crystalline NdPa2Sb at its relaxed geometry.

## Properties
The value obtained for the total energy is -7.206 eV per atom.

Lattice parameters (Å, degrees): 4.5358 4.5358 5.1052 90.00 90.00 90.00
With the nearest neighbours (Å) after each atom.
Fractional positions:
Nd1 0.0000 0.0000 0.0000  4 Sb 3.21, 8 Pa 3.41
Pa1 0.0000 0.5000 0.5000  4 Pa 3.21, 4 Sb 3.41, 4 Nd 3.41
Pa2 0.5000 0.0000 0.5000  4 Pa 3.21, 4 Sb 3.41, 4 Nd 3.41
Sb1 0.5000 0.5000 0.0000  4 Nd 3.21, 8 Pa 3.41

=====

2.
DFT (PBE-GGA) results for crystalline Cs2ZnWBr6 at its relaxed geometry.

## Properties
The value obtained for the total energy is -3.453 eV per atom.

Lattice parameters (Å, degrees): 7.9186 7.9186 7.9186 60.00 60.00 60.00
With the nearest neighbours (Å) after each atom.
Fractional positions:
Cs1 0.2500 0.2500 0.2500  12 Br 3.96
Cs2 0.7500 0.7500 0.7500  12 Br 3.96
Zn1 0.0000 0.0000 0.0000  6 Br 3.00
W1 0.5000 0.5000 0.5000  6 Br 2.60
Br1 0.2675 0.2675 0.7325  1 W 2.60
Br2 0.2675 0.7325 0.2675  1 W 2.60
Br3 0.2675 0.7325 0.7325  1 W 2.60
Br4 0.7325 0.2675 0.2675  1 W 2.60
Br5 0.7325 0.2675 0.7325  1 W 2.60
Br6 0.7325 0.7325 0.2675  1 W 2.60

=====

3.
DFT (PBE-GGA) results for crystalline NiBiAsSe2 at its relaxed geometry.

## Properties
The value obtained for the total energy is -3.025 eV per atom. The energy relative to the lowest polymorph listed for this composition is 518 kJ/mol of formula units.

Lattice parameters (Å, degrees): 5.4863 5.4863 5.4455 90.00 90.00 90.00
With the nearest neighbours (Å) after each atom.
Fractional positions:
Ni1 0.0000 0.0000 0.0000  8 Se 3.87, 4 As 3.88
Bi1 0.5000 0.5000 0.5000  2 As 2.72, 4 Se 2.74
As1 0.5000 0.5000 0.0000  2 Bi 2.72
Se1 0.0000 0.5000 0.5000  2 Bi 2.74
Se2 0.5000 0.0000 0.5000  2 Bi 2.74

=====

4.
DFT (PBE-GGA) results for crystalline Pm4GeSe2Cl at its relaxed geometry.

## Properties
The value obtained for the total energy is -5.600 eV per atom.

Lattice parameters (Å, degrees): 7.2461 4.2054 7.3239 90.00 109.19 90.00
With the nearest neighbours (Å) after each atom.
Fractional positions:
Pm1 0.2416 0.0000 0.2299  3 Se 2.90-3.04, 1 Ge 2.90, 2 Cl 3.07
Pm2 0.2546 0.5000 0.7642  3 Se 2.91-3.04, 2 Ge 2.92, 1 Cl 3.03
Pm3 0.7454 0.5000 0.2358  3 Se 2.91-3.04, 2 Ge 2.92, 1 Cl 3.03
Pm4 0.7584 0.0000 0.7701  3 Se 2.90-3.04, 1 Ge 2.90, 2 Cl 3.07
Ge1 0.5000 0.0000 0.0000  6 Pm 2.90-2.92
Se1 0.0000 0.0000 0.5000  6 Pm 3.04
Se2 0.0000 0.5000 0.0000  6 Pm 2.90-2.91
Cl1 0.5000 0.5000 0.5000  6 Pm 3.03-3.07

=====

5.
DFT (PBE-GGA) results for crystalline PuSiIr at its relaxed geometry.

## Properties
The value obtained for the total energy is -10.249 eV per atom.

Lattice parameters (Å, degrees): 4.1402 7.3084 7.2780 90.00 90.00 90.00
With the nearest neighbours (Å) after each atom.
Fractional positions:
Pu1 0.0000 0.0000 0.0000  6 Si 2.94-3.09, 6 Ir 3.09-3.27
Pu2 0.0000 0.5000 0.1231  6 Ir 2.97-3.01, 6 Si 3.20-3.21
Pu3 0.5000 0.0000 0.6231  6 Ir 2.97-3.01, 6 Si 3.20-3.21
Pu4 0.5000 0.5000 0.5000  6 Si 2.94-3.09, 6 Ir 3.09-3.27
Si1 0.0000 0.3200 0.7221  3 Ir 2.45-2.49, 1 Si 2.63
Si2 0.0000 0.6800 0.7221  3 Ir 2.45-2.49, 1 Si 2.63
Si3 0.5000 0.1800 0.2221  3 Ir 2.45-2.49, 1 Si 2.63
Si4 0.5000 0.8200 0.2221  3 Ir 2.45-2.49, 1 Si 2.63
Ir1 0.0000 0.2020 0.4006  3 Si 2.45-2.49
Ir2 0.0000 0.7980 0.4006  3 Si 2.45-2.49
Ir3 0.5000 0.2980 0.9006  3 Si 2.45-2.49
Ir4 0.5000 0.7020 0.9006  3 Si 2.45-2.49

=====

6.
DFT (PBE-GGA) results for crystalline CrNiAs2 at its relaxed geometry.

## Properties
The calculation puts the formation energy at -0.5 eV/f.u. The value obtained for the total energy is -6.295 eV per atom. The energy relative to the lowest polymorph listed for this composition is 0 kJ/mol of formula units.

Lattice parameters (Å, degrees): 3.4143 3.4143 5.0224 90.00 90.00 90.00
With the nearest neighbours (Å) after each atom.
Fractional positions:
Cr1 0.0000 0.0000 0.0000  6 As 2.42-2.61
Ni1 0.5000 0.5000 0.3467  6 As 2.45-2.57
As1 0.0000 0.0000 0.4812  2 Cr 2.42-2.61, 4 Ni 2.51
As2 0.5000 0.5000 0.8590  2 Ni 2.45-2.57, 4 Cr 2.52

=====

7.
DFT (PBE-GGA) results for crystalline Pm2Tm5Bi4 at its relaxed geometry.

## Properties
The calculation puts the formation energy at -2.0 eV/f.u. The value obtained for the total energy is -4.494 eV per atom.

Lattice parameters (Å, degrees): 18.1135 18.1135 5.6889 98.91 98.91 10.82
With the nearest neighbours (Å) after each atom.
Fractional positions:
Pm1 0.1896 0.1896 0.1863  3 Tm 3.39-3.66, 5 Bi 3.40-3.44, 2 Pm 3.42
Pm2 0.8104 0.8104 0.8137  3 Tm 3.39-3.66, 5 Bi 3.40-3.44, 2 Pm 3.42
Tm1 0.0868 0.0868 0.0850  2 Bi 3.16, 6 Tm 3.38-3.53
Tm2 0.1379 0.1379 0.6354  3 Bi 3.19-3.24, 4 Tm 3.38-3.42, 2 Pm 3.39
Tm3 0.5000 0.5000 0.0000  6 Tm 3.42-3.53, 8 Bi 3.74
Tm4 0.8621 0.8621 0.3646  3 Bi 3.19-3.24, 4 Tm 3.38-3.42, 2 Pm 3.39
Tm5 0.9132 0.9132 0.9150  2 Bi 3.16, 6 Tm 3.38-3.53
Bi1 0.0484 0.0484 0.5471  3 Tm 3.16-3.19, 3 Bi 3.42-3.45
Bi2 0.2849 0.2849 0.2877  2 Tm 3.24, 5 Pm 3.40-3.44, 2 Bi 3.42
Bi3 0.7151 0.7151 0.7123  2 Tm 3.24, 5 Pm 3.40-3.44, 2 Bi 3.42
Bi4 0.9516 0.9516 0.4529  3 Tm 3.16-3.19, 3 Bi 3.42-3.45

=====

8.
DFT (PBE-GGA) results for crystalline Ca3TcW at its relaxed geometry.

## Properties
The calculation puts the formation energy at 7.6 eV/f.u. The value obtained for the total energy is -4.343 eV per atom. The energy relative to the lowest polymorph listed for this composition is 0 kJ/mol of formula units.

Lattice parameters (Å, degrees): 5.3522 5.3522 5.3522 90.00 90.00 90.00
With the nearest neighbours (Å) after each atom.
Fractional positions:
Ca1 0.0000 0.0000 0.5000  2 Tc 2.68
Ca2 0.0000 0.5000 0.0000  2 Tc 2.68
Ca3 0.5000 0.0000 0.0000  2 Tc 2.68
Tc1 0.0000 0.0000 0.0000  6 Ca 2.68
W1 0.5000 0.5000 0.5000  12 Ca 3.78

=====

9.
DFT (PBE-GGA) results for crystalline DyZnPbAu at its relaxed geometry.

## Properties
The calculation puts the formation energy at -1.5 eV/f.u. The value obtained for the total energy is -3.598 eV per atom.

Lattice parameters (Å, degrees): 7.1190 7.1190 7.1190 90.00 90.00 90.00
With the nearest neighbours (Å) after each atom.
Fractional positions:
Dy1 0.0000 0.0000 0.0000  4 Zn 3.08, 4 Au 3.08
Dy2 0.0000 0.5000 0.5000  4 Zn 3.08, 4 Au 3.08
Dy3 0.5000 0.0000 0.5000  4 Zn 3.08, 4 Au 3.08
Dy4 0.5000 0.5000 0.0000  4 Zn 3.08, 4 Au 3.08
Zn1 0.2500 0.2500 0.7500  4 Pb 3.08, 4 Dy 3.08
Zn2 0.2500 0.7500 0.2500  4 Pb 3.08, 4 Dy 3.08
Zn3 0.7500 0.2500 0.2500  4 Pb 3.08, 4 Dy 3.08
Zn4 0.7500 0.7500 0.7500  4 Pb 3.08, 4 Dy 3.08
Pb1 0.0000 0.0000 0.5000  4 Au 3.08, 4 Zn 3.08
Pb2 0.0000 0.5000 0.0000  4 Au 3.08, 4 Zn 3.08
Pb3 0.5000 0.0000 0.0000  4 Au 3.08, 4 Zn 3.08
Pb4 0.5000 0.5000 0.5000  4 Au 3.08, 4 Zn 3.08
Au1 0.2500 0.2500 0.2500  4 Pb 3.08, 4 Dy 3.08
Au2 0.2500 0.7500 0.7500  4 Pb 3.08, 4 Dy 3.08
Au3 0.7500 0.2500 0.7500  4 Pb 3.08, 4 Dy 3.08
Au4 0.7500 0.7500 0.2500  4 Pb 3.08, 4 Dy 3.08

=====

10.
DFT (PBE-GGA) results for crystalline NaSn2P at its relaxed geometry.

## Properties
The calculation puts the formation energy at 0.2 eV/f.u. The value obtained for the total energy is -3.634 eV per atom.

Lattice parameters (Å, degrees): 3.7337 3.7337 28.7502 90.00 90.00 120.00
With the nearest neighbours (Å) after each atom.
Fractional positions:
Na1 0.0000 0.0000 0.0000  2 Sn 3.10
Na2 0.3333 0.6667 0.6667  2 Sn 3.10
Na3 0.6667 0.3333 0.3333  2 Sn 3.10
Sn1 0.0000 0.0000 0.1078  3 P 2.74
Sn2 0.0000 0.0000 0.8922  3 P 2.74
Sn3 0.3333 0.6667 0.5589  3 P 2.74
Sn4 0.3333 0.6667 0.7745  3 P 2.74
Sn5 0.6667 0.3333 0.2255  3 P 2.74
Sn6 0.6667 0.3333 0.4411  3 P 2.74
P1 0.0000 0.0000 0.5000  6 Sn 2.74
P2 0.3333 0.6667 0.1667  6 Sn 2.74
P3 0.6667 0.3333 0.8333  6 Sn 2.74

=====

Please write out number 6 again, unchanged.
DFT (PBE-GGA) results for crystalline CrNiAs2 at its relaxed geometry.

## Properties
The calculation puts the formation energy at -0.5 eV/f.u. The value obtained for the total energy is -6.295 eV per atom. The energy relative to the lowest polymorph listed for this composition is 0 kJ/mol of formula units.

Lattice parameters (Å, degrees): 3.4143 3.4143 5.0224 90.00 90.00 90.00
With the nearest neighbours (Å) after each atom.
Fractional positions:
Cr1 0.0000 0.0000 0.0000  6 As 2.42-2.61
Ni1 0.5000 0.5000 0.3467  6 As 2.45-2.57
As1 0.0000 0.0000 0.4812  2 Cr 2.42-2.61, 4 Ni 2.51
As2 0.5000 0.5000 0.8590  2 Ni 2.45-2.57, 4 Cr 2.52